An optimized crystal structure of CoReOsSeO. Source: Alexandria, functional PBE with a Hubbard U.

Geometry as extended XYZ:
```
5
Lattice="2.833 0.000 0.068 0.000 4.061 0.000 -1.199 0.000 7.627" Properties=species:S:1:pos:R:3 pbc="T T T"
Co 0.520 0.000 4.781
Re 1.813 0.000 2.540
O 0.406 0.000 1.140
Se 0.542 2.031 6.142
Os 1.973 2.031 3.966
```

Summary:
**Symmetry**: Pm
**Total magnetic moment**: 0.370 μB per atom
**Volume**: 17.62 Å³ per atom
**Calculated total energy**: -7.453 eV per atom